Below is crystalline K2Ni3Te4 at its relaxed geometry, with properties calculated at the PBE-GGA level.

Values from the calculation:
**Formation energy without anion corrections**: -0.44 eV per atom

```
data_K2Ni3Te4
_symmetry_space_group_name_H-M 'P 1'
_symmetry_Int_Tables_number 1
_cell_length_a 6.563
_cell_length_b 6.529
_cell_length_c 14.234
_cell_angle_alpha 83.35
_cell_angle_beta 76.67
_cell_angle_gamma 59.83
loop_
_symmetry_equiv_pos_as_xyz
'x,y,z'
loop_
_atom_site_label
_atom_site_type_symbol
_atom_site_fract_x
_atom_site_fract_y
_atom_site_fract_z
Ni1 Ni 0.750 0.500 0.500
Ni2 Ni 0.998 0.500 0.003
Ni3 Ni 0.752 0.000 0.497
Ni4 Ni 0.000 0.000 0.000
Ni5 Ni 0.248 0.000 0.503
Ni6 Ni 0.502 0.500 0.997
Te1 Te 0.220 0.665 0.880
Te2 Te 0.765 0.335 0.120
Te3 Te 0.985 0.165 0.380
Te4 Te 0.634 0.835 0.380
Te5 Te 0.900 0.335 0.880
Te6 Te 0.530 0.835 0.620
Te7 Te 0.116 0.665 0.120
Te8 Te 0.850 0.165 0.620
K1 K 0.431 0.000 0.138
K2 K 0.569 0.000 0.862
K3 K 0.181 0.500 0.638
K4 K 0.319 0.500 0.362
```

***

Below is crystalline NbSb2HI at its relaxed geometry, with properties calculated at the PBE-GGA level.

Values from the calculation:
**Energy relative to the lowest polymorph listed for this composition**: 37 meV/atom

```
data_NbSb2HI
_symmetry_space_group_name_H-M 'P 1'
_symmetry_Int_Tables_number 1
_cell_length_a 4.415
_cell_length_b 4.415
_cell_length_c 5.578
_cell_angle_alpha 90.00
_cell_angle_beta 90.00
_cell_angle_gamma 90.00
loop_
_symmetry_equiv_pos_as_xyz
'x,y,z'
loop_
_atom_site_label
_atom_site_type_symbol
_atom_site_fract_x
_atom_site_fract_y
_atom_site_fract_z
I1 I 0.000 0.000 0.500
Sb1 Sb 0.000 0.500 0.000
Sb2 Sb 0.500 0.000 0.000
H1 H 0.000 0.000 0.000
Nb1 Nb 0.500 0.500 0.500
```